Entry 1:
{"formula": "CoI2O6", "functional": "PBE+U", "state": "relaxed", "e_above_lowest_polymorph_mev_per_atom": 223, "vol_a3_per_atom": 17.610, "lattice": [[2.678, -6.117, 0.000], [2.678, 6.117, 0.000], [-2.068, 0.000, 4.837]], "species": ["Co", "I", "I", "O", "O", "O", "O", "O", "O"], "fractional_positions": [[0.000, 0.000, 0.000], [0.202, 0.482, 0.640], [0.482, 0.202, 0.640], [0.035, 0.285, 0.871], [0.212, 0.212, 0.409], [0.270, 0.858, 0.364], [0.285, 0.035, 0.871], [0.611, 0.611, 0.852], [0.858, 0.270, 0.364]]}


Entry 2:
{"formula": "CoIO2", "functional": "PBE+U", "state": "relaxed", "e_above_lowest_polymorph_mev_per_atom": 979, "vol_a3_per_atom": 13.085, "lattice": [[0.000, 2.969, 2.969], [2.969, 0.000, 2.969], [2.969, 2.969, 0.000]], "species": ["Co", "I", "O", "O"], "fractional_positions": [[0.000, 0.000, 0.000], [0.500, 0.500, 0.500], [0.250, 0.250, 0.250], [0.750, 0.750, 0.750]]}


Entry 3:
{"formula": "CoI2O10", "functional": "PBE+U", "state": "relaxed", "final_energy_ev_per_cell": -109.735, "vol_a3_per_atom": 15.018, "lattice": [[6.712, 0.000, 0.000], [0.000, 6.966, 0.000], [-0.722, 0.000, 8.351]], "species": ["Co", "Co", "I", "I", "I", "I", "O", "O", "O", "O", "O", "O", "O", "O", "O", "O", "O", "O", "O", "O", "O", "O", "O", "O", "O", "O"], "fractional_positions": [[0.000, 0.000, 0.000], [0.000, 0.500, 0.500], [0.347, 0.192, 0.522], [0.347, 0.308, 0.022], [0.653, 0.692, 0.978], [0.653, 0.808, 0.478], [0.066, 0.236, 0.474], [0.066, 0.264, 0.974], [0.105, 0.574, 0.321], [0.105, 0.926, 0.821], [0.253, 0.545, 0.566], [0.253, 0.955, 0.066], [0.313, 0.553, 0.945], [0.313, 0.947, 0.445], [0.343, 0.156, 0.740], [0.343, 0.344, 0.240], [0.657, 0.656, 0.760], [0.657, 0.844, 0.260], [0.687, 0.053, 0.555], [0.687, 0.447, 0.055], [0.747, 0.045, 0.934], [0.747, 0.455, 0.434], [0.895, 0.074, 0.179], [0.895, 0.426, 0.679], [0.934, 0.736, 0.026], [0.934, 0.764, 0.526]]}


Entry 4:
{"formula": "CoI3O", "functional": "PBE+U", "state": "relaxed", "e_above_lowest_polymorph_mev_per_atom": 237, "vol_a3_per_atom": 31.777, "lattice": [[5.416, 0.000, 0.000], [0.000, 5.416, 0.000], [0.000, 0.000, 5.416]], "species": ["Co", "I", "I", "I", "O"], "fractional_positions": [[0.000, 0.000, 0.000], [0.000, 0.000, 0.500], [0.000, 0.500, 0.000], [0.500, 0.000, 0.000], [0.500, 0.500, 0.500]]}


Entry 5:
{"formula": "CoI2O6", "functional": "PBE+U", "state": "relaxed", "e_above_lowest_polymorph_mev_per_atom": 7, "vol_a3_per_atom": 15.323, "lattice": [[11.071, 0.000, 0.000], [-5.536, 9.588, 0.000], [0.000, 0.000, 5.197]], "species": ["Co", "Co", "Co", "Co", "I", "I", "I", "I", "I", "I", "I", "I", "O", "O", "O", "O", "O", "O", "O", "O", "O", "O", "O", "O", "O", "O", "O", "O", "O", "O", "O", "O", "O", "O", "O", "O"], "fractional_positions": [[0.000, 0.000, 0.000], [0.003, 0.510, 0.494], [0.490, 0.493, 0.494], [0.507, 0.997, 0.494], [0.150, 0.316, 0.423], [0.166, 0.850, 0.423], [0.333, 0.667, 0.881], [0.347, 0.167, 0.912], [0.667, 0.333, 0.440], [0.684, 0.834, 0.423], [0.820, 0.653, 0.912], [0.833, 0.180, 0.912], [0.025, 0.175, 0.208], [0.041, 0.684, 0.269], [0.131, 0.459, 0.285], [0.150, 0.975, 0.208], [0.178, 0.131, 0.777], [0.179, 0.656, 0.722], [0.316, 0.357, 0.269], [0.328, 0.869, 0.285], [0.344, 0.524, 0.722], [0.368, 0.037, 0.726], [0.463, 0.322, 0.717], [0.476, 0.821, 0.722], [0.541, 0.672, 0.285], [0.553, 0.170, 0.264], [0.617, 0.447, 0.264], [0.643, 0.959, 0.269], [0.669, 0.632, 0.726], [0.678, 0.141, 0.717], [0.825, 0.850, 0.208], [0.830, 0.383, 0.264], [0.859, 0.537, 0.717], [0.869, 0.047, 0.777], [0.953, 0.822, 0.777], [0.963, 0.331, 0.726]]}


Entry 6:
{"formula": "CoIO2", "functional": "PBE+U", "state": "relaxed", "e_above_lowest_polymorph_mev_per_atom": 229, "vol_a3_per_atom": 16.404, "lattice": [[-2.709, 2.709, 4.470], [2.709, -2.709, 4.470], [2.709, 2.709, -4.470]], "species": ["Co", "Co", "I", "I", "O", "O", "O", "O"], "fractional_positions": [[0.000, 0.000, 0.000], [0.750, 0.250, 0.500], [0.250, 0.750, 0.500], [0.500, 0.500, 0.000], [0.004, 0.625, 0.879], [0.375, 0.254, 0.379], [0.746, 0.125, 0.121], [0.875, 0.996, 0.621]]}


Entry 7:
{"formula": "Co2IO6", "functional": "PBE+U", "state": "relaxed", "final_energy_ev_per_cell": -93.979, "vol_a3_per_atom": 11.643, "lattice": [[4.781, 0.000, 0.000], [0.000, 5.191, 0.000], [0.000, 0.000, 8.445]], "species": ["Co", "Co", "Co", "Co", "I", "I", "O", "O", "O", "O", "O", "O", "O", "O", "O", "O", "O", "O"], "fractional_positions": [[0.000, 0.000, 0.190], [0.000, 0.000, 0.810], [0.500, 0.500, 0.310], [0.500, 0.500, 0.690], [0.000, 0.500, 0.000], [0.500, 0.000, 0.500], [0.200, 0.185, 0.000], [0.222, 0.661, 0.164], [0.222, 0.661, 0.836], [0.278, 0.161, 0.336], [0.278, 0.161, 0.664], [0.300, 0.685, 0.500], [0.700, 0.315, 0.500], [0.722, 0.839, 0.336], [0.722, 0.839, 0.664], [0.778, 0.339, 0.164], [0.778, 0.339, 0.836], [0.800, 0.815, 0.000]]}


Entry 8:
{"formula": "CoIO2", "functional": "PBE+U", "state": "relaxed", "e_above_lowest_polymorph_mev_per_atom": 726, "vol_a3_per_atom": 14.725, "lattice": [[1.549, 0.894, 7.084], [-1.549, 0.894, 7.084], [0.000, -1.789, 7.084]], "species": ["Co", "I", "O", "O"], "fractional_positions": [[0.000, 0.000, 0.000], [0.500, 0.500, 0.500], [0.083, 0.083, 0.083], [0.917, 0.917, 0.917]]}


Entry 9:
{"formula": "Co2IO", "functional": "PBE+U", "state": "relaxed", "e_above_lowest_polymorph_mev_per_atom": 0, "vol_a3_per_atom": 18.927, "lattice": [[-2.546, 2.546, 5.840], [2.546, -2.546, 5.840], [2.546, 2.546, -5.840]], "species": ["Co", "Co", "Co", "Co", "I", "I", "O", "O"], "fractional_positions": [[0.375, 0.174, 0.299], [0.826, 0.125, 0.201], [0.875, 0.076, 0.701], [0.924, 0.625, 0.799], [0.250, 0.750, 0.500], [0.500, 0.500, 0.000], [0.000, 0.000, 0.000], [0.750, 0.250, 0.500]]}


Entry 10:
{"formula": "CoI3O", "functional": "PBE+U", "state": "relaxed", "e_above_lowest_polymorph_mev_per_atom": 0, "vol_a3_per_atom": 26.648, "lattice": [[5.108, 0.000, 0.000], [0.000, 5.108, 0.000], [0.000, 0.000, 5.108]], "species": ["Co", "I", "I", "I", "O"], "fractional_positions": [[0.000, 0.000, 0.000], [0.000, 0.500, 0.500], [0.500, 0.000, 0.500], [0.500, 0.500, 0.000], [0.500, 0.500, 0.500]]}


Entry 11:
{"formula": "CoIO2", "functional": "PBE+U", "state": "relaxed", "e_above_lowest_polymorph_mev_per_atom": 0, "vol_a3_per_atom": 14.270, "lattice": [[1.626, 0.939, 6.235], [-1.626, 0.939, 6.235], [0.000, -1.877, 6.235]], "species": ["Co", "I", "O", "O"], "fractional_positions": [[0.000, 0.000, 0.000], [0.500, 0.500, 0.500], [0.386, 0.386, 0.386], [0.614, 0.614, 0.614]]}


Entry 12:
{"formula": "CoI2O6", "functional": "PBE+U", "state": "relaxed", "e_above_lowest_polymorph_mev_per_atom": 0, "vol_a3_per_atom": 15.485, "lattice": [[5.541, 0.000, 0.000], [0.000, 5.340, 0.000], [-0.038, 0.000, 9.419]], "species": ["Co", "Co", "I", "I", "I", "I", "O", "O", "O", "O", "O", "O", "O", "O", "O", "O", "O", "O"], "fractional_positions": [[0.232, 0.000, 0.247], [0.768, 0.500, 0.753], [0.264, 0.429, 0.565], [0.273, 0.898, 0.900], [0.727, 0.398, 0.100], [0.736, 0.929, 0.435], [0.020, 0.774, 0.381], [0.094, 0.711, 0.772], [0.142, 0.789, 0.068], [0.349, 0.219, 0.418], [0.444, 0.214, 0.099], [0.464, 0.285, 0.699], [0.536, 0.785, 0.301], [0.556, 0.714, 0.901], [0.651, 0.719, 0.582], [0.858, 0.289, 0.932], [0.906, 0.211, 0.228], [0.980, 0.274, 0.619]]}


What is the formula in the fourth record?
CoI3O